[1]
SiAgF4: optimized geometry, PBE-GGA. Values from VASP.

Properties
M_tot (μB per cell): 0.0
Symmetry: P4/nmm
Crystal system: tetragonal
D(E_F) (states/eV per cell): 1.6
Energy relative to the elements, uncorrected (meV/atom): -2224

```
&SYSTEM
  ibrav = 0, nat = 12, ntyp = 3
/
ATOMIC_SPECIES
Si 28.09 Si.upf
Ag 107.87 Ag.upf
F 19.00 F.upf
CELL_PARAMETERS angstrom
-0.811 -1.054 3.551
6.866 -4.524 0.225
4.174 6.478 2.876
ATOMIC_POSITIONS angstrom
Si 5.520 0.977 1.550
Si 0.000 0.000 0.000
Ag 3.192 -2.575 1.167
Ag 1.517 2.498 3.934
F 0.479 -1.537 2.767
F 4.226 -0.874 3.819
F 6.436 0.007 2.407
F 0.483 0.797 1.282
F 3.317 5.194 3.234
F 4.230 1.460 2.334
F 5.140 -4.608 2.920
F 5.567 1.207 4.743
```

[2]
Ni6Pt3W: optimized geometry, PBE-GGA. Values from VASP.

Properties
M_tot (μB per cell): 0.0
Symmetry: P2_1
DFT formation energy (eV per formula unit): -0.41
Crystal system: monoclinic
D(E_F) (states/eV per cell): 30.2

```
&SYSTEM
  ibrav = 0, nat = 20, ntyp = 3
/
ATOMIC_SPECIES
Ni 58.69 Ni.upf
Pt 195.08 Pt.upf
W 183.84 W.upf
CELL_PARAMETERS angstrom
5.268 0.001 -0.003
-0.001 8.214 0.235
0.003 1.877 6.074
ATOMIC_POSITIONS angstrom
Ni 1.418 8.111 2.653
Ni 4.079 6.020 4.047
Ni 0.132 6.001 6.190
Ni 4.072 8.047 2.677
Ni 1.433 1.896 6.059
Ni 2.787 3.815 4.746
Ni 0.151 6.277 1.561
Ni 4.063 8.196 0.247
Ni 1.440 2.045 3.628
Ni 2.763 4.090 0.117
Ni 1.444 4.072 2.258
Ni 4.054 1.981 3.652
Pt 2.747 8.236 5.028
Pt 0.113 8.233 4.984
Pt 1.471 5.960 3.963
Pt 4.104 4.132 2.342
Pt 0.112 1.855 1.279
Pt 2.747 1.858 1.323
W 0.123 3.846 4.749
W 2.754 6.245 1.558
```

[3]
NaSm4YS8: optimized geometry, PBE-GGA. Values from VASP.

Properties
M_tot (μB per cell): 0.0
Symmetry: R3m
Crystal system: trigonal
D(E_F) (states/eV per cell): 0.0
Energy relative to the elements, uncorrected (meV/atom): -1937

```
&SYSTEM
  ibrav = 0, nat = 14, ntyp = 4
/
ATOMIC_SPECIES
Na 22.99 Na.upf
Sm 150.36 Sm.upf
Y 88.91 Y.upf
S 32.06 S.upf
CELL_PARAMETERS angstrom
-1.339 8.002 1.590
-2.485 5.057 -6.050
-7.653 2.991 -0.005
ATOMIC_POSITIONS angstrom
Na -8.117 7.517 -1.680
Sm -3.358 8.533 -2.785
Sm -5.077 4.007 -2.945
Sm -4.523 5.430 0.748
Sm -3.876 1.562 -0.021
Y -7.568 3.009 -0.025
S -7.956 8.078 -4.366
S -7.330 9.688 -0.189
S -6.598 5.313 -1.058
S -3.069 3.970 -1.070
S -3.517 7.982 -0.145
S -4.133 6.400 -4.250
S -4.852 10.700 -3.396
S -8.455 12.070 -3.384
```

[4]
Tm2TaSe: optimized geometry, PBE-GGA. Values from VASP.

Properties
M_tot (μB per cell): 0.4
Symmetry: R-3m
Crystal system: trigonal
D(E_F) (states/eV per cell): 4.5
Energy relative to the elements, uncorrected (meV/atom): 15

```
&SYSTEM
  ibrav = 0, nat = 4, ntyp = 3
/
ATOMIC_SPECIES
Tm 168.93 Tm.upf
Se 78.96 Se.upf
Ta 180.95 Ta.upf
CELL_PARAMETERS angstrom
-1.816 -2.774 -0.919
0.599 -1.523 -3.026
6.180 -7.128 2.856
ATOMIC_POSITIONS angstrom
Tm 4.206 -5.421 1.606
Tm 0.757 -6.004 -2.696
Se 2.481 -5.712 -0.545
Ta 0.000 0.000 0.000
```

[5]
In12Hg3Bi5: optimized geometry, PBE-GGA. Values from VASP.

Properties
M_tot (μB per cell): 0.0
Symmetry: Ia-3d
DFT formation energy (eV per formula unit): 2.27
Crystal system: cubic
D(E_F) (states/eV per cell): 40.4

```
&SYSTEM
  ibrav = 0, nat = 80, ntyp = 3
/
ATOMIC_SPECIES
Hg 200.59 Hg.upf
Bi 208.98 Bi.upf
In 114.82 In.upf
CELL_PARAMETERS angstrom
15.298 0.000 0.000
-5.099 14.423 0.000
-5.099 -7.212 12.491
ATOMIC_POSITIONS angstrom
Hg 8.924 4.507 1.561
Hg 8.924 9.916 1.561
Hg -1.275 6.310 7.807
Hg 1.275 -0.901 4.684
Hg 11.473 0.000 3.123
Hg 1.275 7.212 3.123
Hg 3.824 0.000 9.368
Hg -6.374 7.212 9.368
Hg 3.824 8.113 7.807
Hg 6.374 0.901 4.684
Hg -3.824 -2.704 10.929
Hg -3.824 2.704 10.929
Bi -1.275 3.606 3.123
Bi -2.550 7.212 0.000
Bi 0.000 0.000 0.000
Bi 3.824 2.704 1.561
Bi 5.099 -3.606 6.245
Bi 5.099 7.212 0.000
Bi -3.824 8.113 4.684
Bi 6.374 -4.507 10.929
Bi 6.374 6.310 4.684
Bi 1.275 -3.606 9.368
Bi 3.824 10.817 3.123
Bi 2.550 3.606 6.245
Bi 7.649 0.000 0.000
Bi -2.550 -3.606 6.245
Bi -1.275 0.901 7.807
Bi -1.275 11.719 1.561
Bi -5.099 3.606 6.245
Bi 8.924 -0.901 7.807
Bi 1.275 4.507 10.929
Bi 6.374 3.606 9.368
In 10.253 1.444 0.878
In -0.055 5.088 5.434
In 11.030 3.377 3.263
In 6.817 2.468 1.690
In 2.056 5.835 8.349
In 10.483 6.934 2.104
In -0.832 8.120 4.953
In -4.268 11.955 1.690
In 0.493 8.589 8.349
In 7.365 7.489 2.104
In 7.594 3.567 4.556
In 7.594 12.979 0.878
In -4.606 6.542 7.123
In 2.834 5.528 1.293
In -5.045 10.856 4.556
In 2.495 -2.123 7.057
In -0.493 0.708 2.982
In 2.834 9.173 0.811
In 6.817 11.046 3.263
In -0.284 5.250 0.811
In -3.043 7.919 9.509
In 3.381 6.303 4.953
In 7.156 7.881 7.123
In 5.383 -1.683 11.198
In 1.718 0.909 7.538
In -2.056 -0.669 5.367
In -0.284 8.895 1.293
In -1.718 -3.835 9.228
In 8.142 -0.708 2.982
In 5.383 1.961 11.679
In 2.266 -1.961 11.679
In 2.604 9.335 5.434
In 5.593 6.504 9.509
In 10.144 -3.644 7.935
In 9.705 0.669 5.367
In -2.495 -5.768 11.613
In 2.266 1.683 11.198
In 4.606 -1.377 4.141
In -2.266 -0.278 10.387
In -2.495 3.644 7.935
In 9.367 -4.743 10.801
In 5.931 -0.909 7.538
In -1.718 4.743 10.801
In -5.383 0.278 10.387
In 3.043 1.377 4.141
In -5.931 3.835 9.228
In 5.154 2.123 7.057
In -5.154 5.768 11.613
```

[6]
Sm3Ho4Ir4: optimized geometry, PBE-GGA. Values from VASP.

Properties
M_tot (μB per cell): 0.0
Symmetry: Immm
DFT formation energy (eV per formula unit): -7.21
Crystal system: orthorhombic
D(E_F) (states/eV per cell): 6.7

```
&SYSTEM
  ibrav = 0, nat = 11, ntyp = 3
/
ATOMIC_SPECIES
Sm 150.36 Sm.upf
Ho 164.93 Ho.upf
Ir 192.22 Ir.upf
CELL_PARAMETERS angstrom
-3.001 -2.440 0.638
-0.340 -1.790 -8.446
6.779 -3.890 4.971
ATOMIC_POSITIONS angstrom
Sm 1.035 -1.217 0.216
Sm 2.403 -6.903 -3.053
Sm -0.170 -0.895 -4.223
Ho 3.457 -3.645 2.322
Ho 0.111 -3.791 -1.932
Ho -0.019 -4.475 -5.159
Ho 3.327 -4.329 -0.905
Ir 2.328 -3.831 -3.701
Ir 1.110 -4.289 0.864
Ir -1.767 -2.624 -6.305
Ir -1.574 -1.606 -1.503
```

[7]
AcNiGeH: optimized geometry, PBE-GGA. Values from VASP.

Properties
M_tot (μB per cell): 0.0
Symmetry: P3m1
Crystal system: trigonal
Total energy (eV/atom): -5.0410
D(E_F) (states/eV per cell): 3.0

```
&SYSTEM
  ibrav = 0, nat = 4, ntyp = 4
/
ATOMIC_SPECIES
Ac 227.00 Ac.upf
Ni 58.69 Ni.upf
Ge 72.64 Ge.upf
H 1.01 H.upf
CELL_PARAMETERS angstrom
4.261 0.000 0.000
-2.130 3.689 0.006
0.000 -0.008 4.597
ATOMIC_POSITIONS angstrom
Ac 2.130 0.528 1.543
Ni 0.000 1.754 3.991
Ge 2.130 2.984 3.781
H 0.000 1.759 0.990
```

[8]
KHgRh2: optimized geometry, PBE-GGA. Values from VASP.

Properties
M_tot (μB per cell): 0.0
Symmetry: Cmmm
DFT formation energy (eV per formula unit): 2.32
Crystal system: orthorhombic
D(E_F) (states/eV per cell): 5.1

```
&SYSTEM
  ibrav = 0, nat = 4, ntyp = 3
/
ATOMIC_SPECIES
Hg 200.59 Hg.upf
K 39.10 K.upf
Rh 102.91 Rh.upf
CELL_PARAMETERS angstrom
2.913 -0.014 0.000
-1.252 2.630 0.000
0.000 0.000 10.013
ATOMIC_POSITIONS angstrom
Hg 0.830 1.308 2.503
K 0.830 1.308 7.510
Rh 0.000 0.000 0.209
Rh 0.000 0.000 4.797
```

[9]
Sr3Li8Zn3: optimized geometry, PBE-GGA. Values from VASP.

Properties
M_tot (μB per cell): 0.0
Symmetry: Immm
DFT formation energy (eV per formula unit): -0.74
Crystal system: orthorhombic
D(E_F) (states/eV per cell): 8.1

```
&SYSTEM
  ibrav = 0, nat = 14, ntyp = 3
/
ATOMIC_SPECIES
Sr 87.62 Sr.upf
Li 6.94 Li.upf
Zn 65.41 Zn.upf
CELL_PARAMETERS angstrom
0.931 -1.521 4.545
-0.409 -9.001 -0.307
8.456 -3.124 -0.156
ATOMIC_POSITIONS angstrom
Sr 4.489 -6.823 2.041
Sr 2.089 -3.246 3.730
Sr 6.889 -10.400 0.352
Li 6.269 -4.045 2.606
Li 2.708 -9.601 1.476
Li 1.225 -7.390 2.520
Li 7.753 -6.256 1.562
Li 4.886 -10.448 3.368
Li 4.092 -3.198 0.713
Li 7.642 -8.621 3.415
Li 1.336 -5.025 0.666
Zn 0.466 -0.761 2.272
Zn 1.764 -7.560 -0.270
Zn 6.283 -4.565 -0.193
```

[10]
YAlRh4: optimized geometry, PBE-GGA. Values from VASP.

Properties
M_tot (μB per cell): 0.0
Symmetry: F-43m
DFT formation energy (eV per formula unit): -2.91
Crystal system: cubic
D(E_F) (states/eV per cell): 7.9

```
&SYSTEM
  ibrav = 0, nat = 6, ntyp = 3
/
ATOMIC_SPECIES
Y 88.91 Y.upf
Al 26.98 Al.upf
Rh 102.91 Rh.upf
CELL_PARAMETERS angstrom
0.000 3.695 3.695
3.695 0.000 3.695
3.695 3.695 0.000
ATOMIC_POSITIONS angstrom
Y 5.542 5.542 5.542
Al 0.000 0.000 0.000
Rh 2.765 4.624 4.624
Rh 4.624 4.624 2.765
Rh 4.624 2.765 4.624
Rh 2.765 2.765 2.765
```

[11]
LiTlAs2Se: optimized geometry, PBE-GGA. Values from VASP.

Properties
M_tot (μB per cell): 0.0
Symmetry: P4/mmm
Crystal system: tetragonal
D(E_F) (states/eV per cell): 4.0
Energy relative to the elements, uncorrected (meV/atom): 294

```
&SYSTEM
  ibrav = 0, nat = 5, ntyp = 4
/
ATOMIC_SPECIES
Tl 204.38 Tl.upf
As 74.92 As.upf
Se 78.96 Se.upf
Li 6.94 Li.upf
CELL_PARAMETERS angstrom
4.745 0.000 0.000
0.000 4.745 0.000
0.000 0.000 5.031
ATOMIC_POSITIONS angstrom
Tl 2.373 2.373 2.515
As 0.000 2.373 0.000
As 2.373 0.000 0.000
Se 0.000 0.000 2.515
Li 0.000 0.000 0.000
```

[12]
ScAgHg4: optimized geometry, PBE-GGA. Values from VASP.

Properties
M_tot (μB per cell): 0.0
Symmetry: F-43m
DFT formation energy (eV per formula unit): 0.94
Crystal system: cubic
D(E_F) (states/eV per cell): 4.3

```
&SYSTEM
  ibrav = 0, nat = 6, ntyp = 3
/
ATOMIC_SPECIES
Sc 44.96 Sc.upf
Ag 107.87 Ag.upf
Hg 200.59 Hg.upf
CELL_PARAMETERS angstrom
0.000 4.107 4.107
4.107 0.000 4.107
4.107 4.107 0.000
ATOMIC_POSITIONS angstrom
Sc 6.161 6.161 6.161
Ag 0.000 0.000 0.000
Hg 3.081 5.133 5.133
Hg 5.133 5.133 3.081
Hg 5.133 3.081 5.133
Hg 3.081 3.081 3.081
```

[13]
AcCdNi2: optimized geometry, PBE-GGA. Values from VASP.

Properties
M_tot (μB per cell): 0.0
Symmetry: P2_1/m
DFT formation energy (eV per formula unit): -0.60
Crystal system: monoclinic
D(E_F) (states/eV per cell): 7.9

```
&SYSTEM
  ibrav = 0, nat = 8, ntyp = 3
/
ATOMIC_SPECIES
Ac 227.00 Ac.upf
Cd 112.41 Cd.upf
Ni 58.69 Ni.upf
CELL_PARAMETERS angstrom
4.027 0.000 -1.081
0.000 6.801 0.000
-0.340 0.000 6.723
ATOMIC_POSITIONS angstrom
Ac 3.378 5.100 4.441
Ac 0.309 1.700 1.201
Cd 2.450 5.100 1.055
Cd 1.238 1.700 4.587
Ni 0.804 3.940 2.964
Ni 2.883 2.861 2.679
Ni 2.883 0.539 2.679
Ni 0.804 6.261 2.964
```

[14]
YTlH3: optimized geometry, PBE-GGA. Values from VASP.

Properties
M_tot (μB per cell): 0.0
Symmetry: Pm-3m
Crystal system: cubic
Total energy (eV/atom): -3.9722
D(E_F) (states/eV per cell): 1.1

```
&SYSTEM
  ibrav = 0, nat = 5, ntyp = 3
/
ATOMIC_SPECIES
Y 88.91 Y.upf
H 1.01 H.upf
Tl 204.38 Tl.upf
CELL_PARAMETERS angstrom
4.228 0.000 0.000
0.000 4.228 0.000
0.000 0.000 4.228
ATOMIC_POSITIONS angstrom
Y 0.000 0.000 0.000
H 0.000 2.114 0.000
H 0.000 0.000 2.114
H 2.114 0.000 0.000
Tl 2.114 2.114 2.114
```

[15]
MnSe2Cl: optimized geometry, PBE-GGA. Values from VASP.

Properties
M_tot (μB per cell): 3.0
Symmetry: Fm-3m
Crystal system: cubic
D(E_F) (states/eV per cell): 1.7
Energy relative to the elements, uncorrected (meV/atom): 314

```
&SYSTEM
  ibrav = 0, nat = 4, ntyp = 3
/
ATOMIC_SPECIES
Cl 35.45 Cl.upf
Mn 54.94 Mn.upf
Se 78.96 Se.upf
CELL_PARAMETERS angstrom
-1.138 -3.410 3.091
3.304 -1.765 2.905
-0.163 0.964 4.639
ATOMIC_POSITIONS angstrom
Cl 0.000 0.000 0.000
Mn 1.001 -2.106 5.317
Se 0.501 -1.053 2.659
Se 1.502 -3.159 7.976
```

[16]
NiTe2Cl: optimized geometry, PBE-GGA. Values from VASP.

Properties
M_tot (μB per cell): 0.0
Symmetry: Pmmm
Crystal system: orthorhombic
D(E_F) (states/eV per cell): 4.4
Energy relative to the elements, uncorrected (meV/atom): 387

```
&SYSTEM
  ibrav = 0, nat = 4, ntyp = 3
/
ATOMIC_SPECIES
Cl 35.45 Cl.upf
Ni 58.69 Ni.upf
Te 127.60 Te.upf
CELL_PARAMETERS angstrom
-2.769 -1.575 -0.125
3.291 -5.885 1.232
-0.547 0.613 4.390
ATOMIC_POSITIONS angstrom
Cl -1.658 -0.481 2.132
Ni 1.372 -2.636 2.811
Te 0.000 0.000 0.000
Te 0.261 -3.730 0.554
```

[17]
TlO2F: optimized geometry, PBE-GGA. Values from VASP.

Properties
M_tot (μB per cell): 0.0
Symmetry: R-3m
Crystal system: trigonal
D(E_F) (states/eV per cell): 1.3
Energy relative to the elements, uncorrected (meV/atom): -252

```
&SYSTEM
  ibrav = 0, nat = 4, ntyp = 3
/
ATOMIC_SPECIES
Tl 204.38 Tl.upf
O 16.00 O.upf
F 19.00 F.upf
CELL_PARAMETERS angstrom
2.726 -1.082 5.211
4.824 1.179 3.330
1.940 2.443 5.101
ATOMIC_POSITIONS angstrom
Tl 4.745 1.270 6.821
O 8.474 2.268 12.181
O 1.016 0.272 1.461
F 0.000 0.000 0.000
```

[18]
Cs2SnOsCl6: optimized geometry, PBE-GGA. Values from VASP.

Properties
M_tot (μB per cell): 0.0
Symmetry: Fm-3m
Crystal system: cubic
D(E_F) (states/eV per cell): 0.0
Energy relative to the elements, uncorrected (meV/atom): -1024

```
&SYSTEM
  ibrav = 0, nat = 10, ntyp = 4
/
ATOMIC_SPECIES
Cs 132.91 Cs.upf
Os 190.23 Os.upf
Sn 118.71 Sn.upf
Cl 35.45 Cl.upf
CELL_PARAMETERS angstrom
7.426 0.000 0.000
0.000 7.426 0.000
3.713 3.713 5.249
ATOMIC_POSITIONS angstrom
Cs 7.426 3.713 2.624
Cs 3.713 7.426 2.624
Os 0.000 0.000 0.000
Sn 3.713 3.713 0.000
Cl 3.713 3.713 2.822
Cl 7.426 7.426 2.427
Cl 1.717 1.717 0.000
Cl 5.709 5.709 0.000
Cl 5.709 1.717 0.000
Cl 1.717 5.709 0.000
```

[19]
Nd6YAl2: optimized geometry, PBE-GGA. Values from VASP.

Properties
M_tot (μB per cell): 0.0
Symmetry: C2/m
DFT formation energy (eV per formula unit): -1.30
Crystal system: monoclinic
D(E_F) (states/eV per cell): 9.3

```
&SYSTEM
  ibrav = 0, nat = 9, ntyp = 3
/
ATOMIC_SPECIES
Nd 144.24 Nd.upf
Y 88.91 Y.upf
Al 26.98 Al.upf
CELL_PARAMETERS angstrom
3.744 0.000 0.594
1.648 6.321 1.707
0.048 -0.103 11.782
ATOMIC_POSITIONS angstrom
Nd 3.405 3.186 2.728
Nd 2.035 3.033 11.355
Nd 2.488 4.918 8.503
Nd 4.859 4.565 5.654
Nd 0.581 1.654 8.429
Nd 2.952 1.301 5.580
Y 0.000 0.000 0.000
Al 1.494 0.611 2.679
Al 3.946 5.608 11.404
```

[20]
Ti2NbPtN: optimized geometry, PBE-GGA. Values from VASP.

Properties
M_tot (μB per cell): 0.0
Symmetry: P4/mmm
Crystal system: tetragonal
D(E_F) (states/eV per cell): 5.7
Energy relative to the elements, uncorrected (meV/atom): -1030

```
&SYSTEM
  ibrav = 0, nat = 5, ntyp = 4
/
ATOMIC_SPECIES
Nb 92.91 Nb.upf
N 14.01 N.upf
Pt 195.08 Pt.upf
Ti 47.87 Ti.upf
CELL_PARAMETERS angstrom
-2.448 2.235 -2.408
-2.925 -2.850 0.328
-1.554 1.990 3.426
ATOMIC_POSITIONS angstrom
Nb -0.777 0.995 1.713
N 0.000 0.000 0.000
Pt -3.464 0.687 0.673
Ti -1.462 -1.425 0.164
Ti -1.224 1.117 -1.204
```

[21]
Ba2CaTl: optimized geometry, PBE-GGA. Values from VASP.

Properties
M_tot (μB per cell): 0.0
Symmetry: Imm2
DFT formation energy (eV per formula unit): -0.31
Crystal system: orthorhombic
D(E_F) (states/eV per cell): 4.4

```
&SYSTEM
  ibrav = 0, nat = 4, ntyp = 3
/
ATOMIC_SPECIES
Ba 137.33 Ba.upf
Ca 40.08 Ca.upf
Tl 204.38 Tl.upf
CELL_PARAMETERS angstrom
-0.396 4.098 -1.742
1.246 -2.355 -5.837
-7.344 -1.980 2.759
ATOMIC_POSITIONS angstrom
Ba -2.542 -0.432 -0.439
Ba -3.927 0.148 -4.496
Ca -6.908 -1.126 -1.079
Tl -0.188 2.030 -0.918
```